# La2Y5Ho4 PBE relaxed
data_La2Y5Ho4
_cell_length_a 8.989
_cell_length_b 8.989
_cell_length_c 11.722
_cell_angle_alpha 94.44
_cell_angle_beta 94.44
_cell_angle_gamma 22.70
_space_group_name_H-M_alt 'P 1'
_space_group_IT_number 1
loop_
_space_group_symop_operation_xyz
'x,y,z'
loop_
_atom_site_label
_atom_site_type_symbol
_atom_site_fract_x
_atom_site_fract_y
_atom_site_fract_z
La1 La 0.217 0.217 0.349
La2 La 0.783 0.783 0.651
Y1 Y 0.000 0.000 0.000
Y2 Y 0.324 0.324 0.935
Y3 Y 0.406 0.406 0.461
Y4 Y 0.594 0.594 0.539
Y5 Y 0.676 0.676 0.065
Ho1 Ho 0.139 0.139 0.799
Ho2 Ho 0.468 0.468 0.746
Ho3 Ho 0.532 0.532 0.254
Ho4 Ho 0.861 0.861 0.201
# energy relative to the lowest polymorph listed for this composition: 0.0 kJ/mol of formula units
# electronic total energy: -5.430 eV/atom
# energy relative to the elements: 68.8 meV/atom
# DOS(E_F): 16.95 states/eV per cell
# SG: C2/m, No. 12

=====

# Sr2ReMoPb PBE relaxed
data_Sr2ReMoPb
_cell_length_a 6.058
_cell_length_b 6.058
_cell_length_c 4.577
_cell_angle_alpha 90.00
_cell_angle_beta 90.00
_cell_angle_gamma 90.00
_space_group_name_H-M_alt 'P 1'
_space_group_IT_number 1
loop_
_space_group_symop_operation_xyz
'x,y,z'
loop_
_atom_site_label
_atom_site_type_symbol
_atom_site_fract_x
_atom_site_fract_y
_atom_site_fract_z
Sr1 Sr 0.000 0.500 0.000
Sr2 Sr 0.500 0.000 0.000
Re1 Re 0.000 0.000 0.000
Mo1 Mo 0.000 0.000 0.500
Pb1 Pb 0.500 0.500 0.500
# electronic total energy: -5.212 eV/atom
# energy relative to the elements: 858.5 meV/atom
# DOS(E_F): 5.13 states/eV per cell
# SG: P4/mmm, No. 123

=====

# Li2InAuCl PBE relaxed
data_Li2InAuCl
_cell_length_a 5.625
_cell_length_b 5.625
_cell_length_c 5.232
_cell_angle_alpha 90.00
_cell_angle_beta 90.00
_cell_angle_gamma 90.00
_space_group_name_H-M_alt 'P 1'
_space_group_IT_number 1
loop_
_space_group_symop_operation_xyz
'x,y,z'
loop_
_atom_site_label
_atom_site_type_symbol
_atom_site_fract_x
_atom_site_fract_y
_atom_site_fract_z
Li1 Li 0.000 0.500 0.000
Li2 Li 0.500 0.000 0.000
In1 In 0.000 0.000 0.000
Au1 Au 0.500 0.500 0.500
Cl1 Cl 0.000 0.000 0.500
# uncorrected formation energy: 0.171 eV/atom
# electronic total energy: -2.167 eV/atom
# DOS(E_F): 3.47 states/eV per cell
# SG: P4/mmm, No. 123